(1)
## TbYI6 (GGA-PBE)

Data for a relaxed structure of TbYI6.

Computed properties:
The value obtained for the magnetization is 0.00 Bohr magnetons per cell. The crystal system is monoclinic. As for the mass density: 4252 kg/m³. For the raw formation energy, the calculation gives -1.359 eV per atom. As for the total energy: -0.2872 Ry/atom. The calculation puts the density of states at the Fermi level at 0.000 states/eV/atom.

a b c (Å): 8.3134 8.3134 7.4823
angles (deg): 98.17 98.17 126.55
Sites, in units of the cell vectors:
Tb  0.0000  0.0000  0.0000
Y  0.5000  0.5000  0.5000
I  0.1081  0.3951  0.2501
I  0.2489  0.2489  0.7488
I  0.3951  0.1081  0.2501
I  0.6049  0.8919  0.7499
I  0.7511  0.7511  0.2512
I  0.8919  0.6049  0.7499

(2)
## PmSmBeAl (GGA-PBE)

Data for a relaxed structure of PmSmBeAl.

Computed properties:
The value obtained for the magnetization is 0.00 Bohr magnetons per cell. The crystal system is cubic. The calculation puts the formation energy from the elements at -0.3 eV/f.u. As for the mass density: 5845 kg/m³. As for the total energy: -0.3163 Ry/atom. The calculation puts the density of states at the Fermi level at 1.110 states/eV/atom.

a b c (Å): 5.1060 5.1060 5.1060
angles (deg): 60.00 60.00 60.00
Sites, in units of the cell vectors:
Pm  0.0000  0.0000  0.0000
Sm  0.5000  0.5000  0.5000
Be  0.2500  0.2500  0.2500
Al  0.7500  0.7500  0.7500

(3)
## CsNiP2Cl (GGA-PBE)

Data for a relaxed structure of CsNiP2Cl.

Computed properties:
The value obtained for the magnetization is 3.97 Bohr magnetons per cell. The crystal system is tetragonal. As for the mass density: 2170 kg/m³. For the raw formation energy, the calculation gives 1.827 eV per atom. As for the total energy: -0.1495 Ry/atom. The calculation puts the density of states at the Fermi level at 1.365 states/eV/atom.

a b c (Å): 5.9924 5.9924 6.1584
angles (deg): 90.00 90.00 90.00
Sites, in units of the cell vectors:
Cs  0.0000  0.0000  0.0000
Ni  0.5000  0.5000  0.5000
P  0.0000  0.5000  0.0000
P  0.5000  0.0000  0.0000
Cl  0.0000  0.0000  0.5000

(4)
## Pa2TiRu (GGA-PBE)

Data for a relaxed structure of Pa2TiRu.

Computed properties:
The value obtained for the magnetization is 0.00 Bohr magnetons per cell. The crystal system is trigonal. The calculation puts the formation energy from the elements at 0.6 eV/f.u. As for the mass density: 12541 kg/m³. As for the total energy: -0.6531 Ry/atom. The calculation puts the density of states at the Fermi level at 1.410 states/eV/atom.

a b c (Å): 10.3420 10.3420 10.3420
angles (deg): 16.83 16.83 16.83
Sites, in units of the cell vectors:
Pa  0.0900  0.0900  0.0900
Pa  0.9100  0.9100  0.9100
Ti  0.0000  0.0000  0.0000
Ru  0.5000  0.5000  0.5000

(5)
## Ca2ZrZn (GGA-PBE)

Data for a relaxed structure of Ca2ZrZn.

Computed properties:
The value obtained for the magnetization is 0.00 Bohr magnetons per cell. The crystal system is tetragonal. The calculation puts the formation energy from the elements at 0.5 eV/f.u. As for the mass density: 3682 kg/m³. As for the total energy: -0.2442 Ry/atom. The calculation puts the density of states at the Fermi level at 1.328 states/eV/atom.

a b c (Å): 3.3983 3.3983 9.2466
angles (deg): 90.00 90.00 90.00
Sites, in units of the cell vectors:
Ca  0.0000  0.0000  0.2224
Ca  0.0000  0.0000  0.7776
Zr  0.5000  0.5000  0.5000
Zn  0.5000  0.5000  0.0000

(6)
## MgF (GGA-PBE)

Data for a relaxed structure of MgF.

Computed properties:
The value obtained for the magnetization is 0.00 Bohr magnetons per cell. The crystal system is orthorhombic. As for the mass density: 2184 kg/m³. For the raw formation energy, the calculation gives -2.235 eV per atom. As for the total energy: -0.2917 Ry/atom. The calculation puts the density of states at the Fermi level at 0.146 states/eV/atom.

a b c (Å): 5.8779 5.8779 5.8779
angles (deg): 147.36 76.29 113.26
Sites, in units of the cell vectors:
Mg  0.0000  0.0000  0.0000
Mg  0.2063  0.4174  0.7889
Mg  0.6284  0.4174  0.2111
F  0.3279  0.3279  0.0000
F  0.4024  0.0977  0.3047
F  0.7930  0.0977  0.6953

(7)
## Ce2NdAgC (GGA-PBE)

Data for a relaxed structure of Ce2NdAgC.

Computed properties:
The value obtained for the magnetization is 0.99 Bohr magnetons per cell. The crystal system is tetragonal. The calculation puts the formation energy from the elements at -0.2 eV/f.u. As for the mass density: 7257 kg/m³. As for the total energy: -0.4256 Ry/atom. The calculation puts the density of states at the Fermi level at 2.287 states/eV/atom.

a b c (Å): 4.9021 4.9021 5.1837
angles (deg): 90.00 90.00 90.00
Sites, in units of the cell vectors:
Ce  0.0000  0.5000  0.0000
Ce  0.5000  0.0000  0.0000
Nd  0.0000  0.0000  0.5000
Ag  0.5000  0.5000  0.5000
C  0.0000  0.0000  0.0000

(8)
## DyY2Ho3As6 (GGA-PBE)

Data for a relaxed structure of DyY2Ho3As6.

Computed properties:
The value obtained for the magnetization is 0.00 Bohr magnetons per cell. The crystal system is monoclinic. The calculation puts the formation energy from the elements at -18.5 eV/f.u. As for the mass density: 7239 kg/m³. As for the total energy: -0.4755 Ry/atom. The calculation puts the density of states at the Fermi level at 0.152 states/eV/atom.

a b c (Å): 9.1910 9.1910 8.2197
angles (deg): 102.90 102.90 25.85
Sites, in units of the cell vectors:
Dy  0.0000  0.0000  0.0000
Y  0.3333  0.3333  0.6668
Y  0.6667  0.6667  0.3332
Ho  0.0000  0.0000  0.5000
Ho  0.3333  0.3333  0.1668
Ho  0.6667  0.6667  0.8332
As  0.1662  0.1662  0.5842
As  0.1669  0.1669  0.0820
As  0.4996  0.4996  0.2506
As  0.5004  0.5004  0.7494
As  0.8331  0.8331  0.9180
As  0.8338  0.8338  0.4158